# 1
First-principles (PBE) data for a geometry-optimized CaAc4Nd3 structure, as listed in the Alexandria database.

## Properties
Its magnetic moment is 0.00 μB per cell. As for the final energy: -31.82 eV per formula unit.

a = 17.0526 Å, b = 6.3214 Å, c = 6.5043 Å
α = 90.00°, β = 110.27°, γ = 90.00°
Closest atoms and distances in Å follow each position.
Fractional coordinates of all 16 atoms:
Ca1 0.0000 0.0000 0.0000  6 Ac 3.69-4.12, 4 Nd 3.76
Ca2 0.5000 0.5000 0.0000  6 Ac 3.69-4.12, 4 Nd 3.76
Ac1 0.1283 0.0000 0.5888  2 Ca 3.69-4.00, 5 Ac 3.72-4.12, 3 Nd 3.77-3.94
Ac2 0.2428 0.5000 0.8003  5 Nd 3.63-3.92, 6 Ac 3.72-4.04
Ac3 0.2572 0.0000 0.1997  5 Nd 3.63-3.92, 6 Ac 3.72-4.04
Ac4 0.3717 0.5000 0.4112  2 Ca 3.69-4.00, 5 Ac 3.72-4.12, 3 Nd 3.77-3.94
Ac5 0.6283 0.5000 0.5888  2 Ca 3.69-4.00, 5 Ac 3.72-4.12, 3 Nd 3.77-3.94
Ac6 0.7428 0.0000 0.8003  5 Nd 3.63-3.92, 6 Ac 3.72-4.04
Ac7 0.7572 0.5000 0.1997  5 Nd 3.63-3.92, 6 Ac 3.72-4.04
Ac8 0.8717 0.0000 0.4112  2 Ca 3.69-4.00, 5 Ac 3.72-4.12, 3 Nd 3.77-3.94
Nd1 0.0000 0.5000 0.5000  2 Nd 3.51, 6 Ac 3.77-3.92
Nd2 0.1254 0.5000 0.1718  1 Nd 3.51, 4 Ac 3.63-3.88, 2 Ca 3.76
Nd3 0.3746 0.0000 0.8282  1 Nd 3.51, 4 Ac 3.63-3.88, 2 Ca 3.76
Nd4 0.5000 0.0000 0.5000  2 Nd 3.51, 6 Ac 3.77-3.92
Nd5 0.6254 0.0000 0.1718  1 Nd 3.51, 4 Ac 3.63-3.88, 2 Ca 3.76
Nd6 0.8746 0.5000 0.8282  1 Nd 3.51, 4 Ac 3.63-3.88, 2 Ca 3.76

# 2
First-principles (PBE) data for a geometry-optimized CaAcNd4 structure, as listed in the Alexandria database.

## Properties
The distance to the lowest polymorph of the same formula comes out at 0.110 eV/atom. Its magnetic moment is 0.00 μB per cell. As for the final energy: -24.18 eV per formula unit.

a = 6.9308 Å, b = 6.9308 Å, c = 6.9308 Å
α = 60.00°, β = 60.00°, γ = 60.00°
Closest atoms and distances in Å follow each position.
Fractional coordinates of all 6 atoms:
Ca1 0.0000 0.0000 0.0000  12 Nd 4.06, 4 Ac 4.24
Ac1 0.7500 0.7500 0.7500  12 Nd 4.06, 4 Ca 4.24
Nd1 0.3754 0.3754 0.3754  6 Nd 3.45-3.48
Nd2 0.3754 0.3754 0.8738  6 Nd 3.45-3.48
Nd3 0.3754 0.8738 0.3754  6 Nd 3.45-3.48
Nd4 0.8738 0.3754 0.3754  6 Nd 3.45-3.48

# 3
First-principles (PBE) data for a geometry-optimized CaAc6Nd8 structure, as listed in the Alexandria database.

## Properties
Its magnetic moment is 0.00 μB per cell. As for the final energy: -62.42 eV per formula unit.

a = 10.0209 Å, b = 10.0209 Å, c = 6.9254 Å
α = 90.00°, β = 90.00°, γ = 120.00°
Closest atoms and distances in Å follow each position.
Fractional coordinates of all 15 atoms:
Ca1 0.0000 0.0000 0.0000  6 Nd 3.46
Ac1 0.0910 0.6506 0.8229  6 Nd 3.58-3.92, 1 Ac 3.60
Ac2 0.3494 0.4404 0.8229  6 Nd 3.58-3.92, 1 Ac 3.60
Ac3 0.4404 0.0910 0.1771  6 Nd 3.58-3.92, 1 Ac 3.60
Ac4 0.5596 0.9090 0.8229  6 Nd 3.58-3.92, 1 Ac 3.60
Ac5 0.6506 0.5596 0.1771  6 Nd 3.58-3.92, 1 Ac 3.60
Ac6 0.9090 0.3494 0.1771  6 Nd 3.58-3.92, 1 Ac 3.60
Nd1 0.0432 0.7664 0.3329  1 Ca 3.46, 3 Nd 3.47-3.52, 5 Ac 3.58-3.85
Nd2 0.2336 0.2768 0.3329  1 Ca 3.46, 3 Nd 3.47-3.52, 5 Ac 3.58-3.85
Nd3 0.2768 0.0432 0.6671  1 Ca 3.46, 3 Nd 3.47-3.52, 5 Ac 3.58-3.85
Nd4 0.3333 0.6667 0.3700  3 Nd 3.52, 3 Ac 3.92
Nd5 0.6667 0.3333 0.6300  3 Nd 3.52, 3 Ac 3.92
Nd6 0.7232 0.9568 0.3329  1 Ca 3.46, 3 Nd 3.47-3.52, 5 Ac 3.58-3.85
Nd7 0.7664 0.7232 0.6671  1 Ca 3.46, 3 Nd 3.47-3.52, 5 Ac 3.58-3.85
Nd8 0.9568 0.2336 0.6671  1 Ca 3.46, 3 Nd 3.47-3.52, 5 Ac 3.58-3.85

# 4
First-principles (PBE) data for a geometry-optimized Ca2Ac6Nd structure, as listed in the Alexandria database.

## Properties
The distance to the lowest polymorph of the same formula comes out at 0.000 eV/atom. Its magnetic moment is 0.00 μB per cell. As for the final energy: -32.75 eV per formula unit.

a = 3.9270 Å, b = 3.9270 Å, c = 29.4256 Å
α = 90.00°, β = 90.00°, γ = 120.00°
Closest atoms and distances in Å follow each position.
Fractional coordinates of all 9 atoms:
Ca1 0.0000 0.0000 0.1722  6 Ac 3.93-3.99, 6 Ca 3.93
Ca2 0.0000 0.0000 0.8278  6 Ac 3.93-3.99, 6 Ca 3.93
Ac1 0.0000 0.0000 0.3948  3 Nd 3.84, 9 Ac 3.93-3.97
Ac2 0.0000 0.0000 0.6052  3 Nd 3.84, 9 Ac 3.93-3.97
Ac3 0.6667 0.3333 0.0633  7 Ac 3.72-3.93, 3 Ca 3.93
Ac4 0.6667 0.3333 0.2839  9 Ac 3.93-3.97, 3 Ca 3.99
Ac5 0.6667 0.3333 0.7161  9 Ac 3.93-3.97, 3 Ca 3.99
Ac6 0.6667 0.3333 0.9367  7 Ac 3.72-3.93, 3 Ca 3.93
Nd1 0.6667 0.3333 0.5000  6 Ac 3.84, 6 Nd 3.93

| no. | N(E_F) (states/eV per atom) |
| --- | --- |
| 1 | 1.667 |
| 2 | 1.431 |
| 3 | 1.425 |
| 4 | 1.862 |